Entry 1:
Material: ErRuO4
Method: DFT, PBE
State: relaxed

## Properties
Excess energy over the best structure of this formula in the dataset in meV per atom: 64
ΔE_f (raw) in kcal/mol of atoms: -45.303
SG: P2_1/c, No. 14
Total magnetization in μB per formula unit: 2.30
Calculated volume in Å³/cell: 152.4

Cell lengths 5.8009, 4.9145, 5.7053 Å; angles 90.00, 110.40, 90.00 degrees
Closest atoms and distances in Å follow each position.
Sites, in units of the cell vectors:
Er: 0.0000 0.0000 0.0000  6 O 2.19-2.31
Er: 0.0000 0.5000 0.5000  6 O 2.19-2.31
Ru: 0.5000 0.0000 0.5000  6 O 1.93-2.02
Ru: 0.5000 0.5000 0.0000  6 O 1.93-2.02
O: 0.1748 0.1567 0.3843  1 Ru 1.93
O: 0.1748 0.3433 0.8843  1 Ru 1.93
O: 0.3745 0.7160 0.6812  2 Ru 2.01-2.02
O: 0.3745 0.7840 0.1812  2 Ru 2.01-2.02
O: 0.6255 0.2160 0.8188  2 Ru 2.01-2.02
O: 0.6255 0.2840 0.3188  2 Ru 2.01-2.02
O: 0.8252 0.6567 0.1157  1 Ru 1.93
O: 0.8252 0.8433 0.6157  1 Ru 1.93

***

Entry 2:
Material: La2FeSe
Method: DFT, PBE
State: relaxed

## Properties
ΔE_f (raw) in kcal/mol of atoms: -16.991
SG: P4mm, No. 99
Total magnetization in μB per formula unit: 0.32
Calculated volume in Å³/cell: 110.2

Cell lengths 4.2802, 4.2802, 6.0138 Å; angles 90.00, 90.00, 90.00 degrees
Closest atoms and distances in Å follow each position.
Sites, in units of the cell vectors:
La: 0.0000 0.0000 0.0000  1 Fe 2.25
La: 0.5000 0.5000 0.4145  2 Se 3.00-3.02, 4 Fe 3.04
Fe: 0.0000 0.0000 0.3734  1 La 2.25
Se: 0.5000 0.5000 0.9130  6 La 3.00-3.07

***

Entry 3:
Material: Co2AuCl
Method: DFT, PBE
State: relaxed

## Properties
Excess energy over the best structure of this formula in the dataset in meV per atom: 63
ΔE_f (raw) in kcal/mol of atoms: 5.834
SG: P4mm, No. 99
Total magnetization in μB per formula unit: 3.76
Calculated volume in Å³/cell: 66.7

Cell lengths 3.0528, 3.0528, 7.1535 Å; angles 90.00, 90.00, 90.00 degrees
Closest atoms and distances in Å follow each position.
Sites, in units of the cell vectors:
Co: 0.0000 0.0000 0.0000  4 Co 2.43, 4 Cl 2.56
Co: 0.5000 0.5000 0.1567  4 Co 2.43, 1 Cl 2.49, 4 Au 2.70
Au: 0.0000 0.0000 0.3844  5 Co 2.70-2.75
Cl: 0.5000 0.5000 0.8087  5 Co 2.49-2.56

***

Entry 4:
Material: PPdN2F
Method: DFT, PBE
State: relaxed

## Properties
Excess energy over the best structure of this formula in the dataset in meV per atom: 807
ΔE_f (raw) in kcal/mol of atoms: 31.617
SG: P4/mmm, No. 123
Total magnetization in μB per formula unit: 0.00
Calculated volume in Å³/cell: 63.5

Cell lengths 3.9919, 3.9919, 3.9822 Å; angles 90.00, 90.00, 90.00 degrees
Closest atoms and distances in Å follow each position.
Sites, in units of the cell vectors:
P: 0.0000 0.0000 0.0000  8 N 2.82, 4 F 2.82
Pd: 0.5000 0.5000 0.5000  2 F 1.99, 4 N 2.00
N: 0.0000 0.5000 0.5000  2 Pd 2.00
N: 0.5000 0.0000 0.5000  2 Pd 2.00
F: 0.5000 0.5000 0.0000  2 Pd 1.99

***

Entry 5:
Material: TeBr2F2
Method: DFT, PBE
State: relaxed

## Properties
Excess energy over the best structure of this formula in the dataset in meV per atom: 195
ΔE_f (raw) in kcal/mol of atoms: 0.495
SG: I4/mmm, No. 139
Total magnetization in μB per formula unit: 0.00
Calculated volume in Å³/cell: 94.8

Cell lengths 7.0833, 7.0833, 7.0833 Å; angles 148.86, 148.86, 44.62 degrees
Closest atoms and distances in Å follow each position.
Sites, in units of the cell vectors:
Te: 0.0000 0.0000 0.0000  8 Br 3.14
Br: 0.3760 0.3760 0.0000  4 F 2.52
Br: 0.6240 0.6240 0.0000  4 F 2.52
F: 0.2500 0.7500 0.5000  4 Br 2.52, 4 F 2.69
F: 0.7500 0.2500 0.5000  4 Br 2.52, 4 F 2.69

***

Entry 6:
Material: Rb2NaAuI
Method: DFT, PBE
State: relaxed

## Properties
Excess energy over the best structure of this formula in the dataset in meV per atom: 0
ΔE_f (raw) in kcal/mol of atoms: -12.994
SG: P4/mmm, No. 123
Total magnetization in μB per formula unit: 0.00
Calculated volume in Å³/cell: 247.5

Cell lengths 6.6227, 6.6227, 5.6420 Å; angles 90.00, 90.00, 90.00 degrees
Closest atoms and distances in Å follow each position.
Sites, in units of the cell vectors:
Rb: 0.0000 0.5000 0.0000  2 Au 3.31
Rb: 0.5000 0.0000 0.0000  2 Au 3.31
Na: 0.0000 0.0000 0.5000  2 Au 2.82
Au: 0.0000 0.0000 0.0000  2 Na 2.82
I: 0.5000 0.5000 0.5000  8 Rb 4.35, 4 Na 4.68

***

Entry 7:
Material: TiAsH2
Method: DFT, PBE
State: relaxed

## Properties
Excess energy over the best structure of this formula in the dataset in meV per atom: 647
SG: Fm-3m, No. 225
Total magnetization in μB per formula unit: 0.00
Calculated volume in Å³/cell: 39.1

Cell lengths 3.8084, 3.8084, 3.8084 Å; angles 60.00, 60.00, 60.00 degrees
Closest atoms and distances in Å follow each position.
Sites, in units of the cell vectors:
Ti: 0.0000 0.0000 0.0000  8 H 2.33
As: 0.5000 0.5000 0.5000  8 H 2.33
H: 0.2500 0.2500 0.2500  4 As 2.33, 4 Ti 2.33
H: 0.7500 0.7500 0.7500  4 As 2.33, 4 Ti 2.33

***

Entry 8:
Material: GaHgBi3
Method: DFT, PBE
State: relaxed

## Properties
Excess energy over the best structure of this formula in the dataset in meV per atom: 190
Energy relative to the elements in eV/atom: 0.661
SG: Pm-3m, No. 221
Total magnetization in μB per formula unit: 0.00
Calculated volume in Å³/cell: 191.4

Cell lengths 5.7627, 5.7627, 5.7627 Å; angles 90.00, 90.00, 90.00 degrees
Closest atoms and distances in Å follow each position.
Sites, in units of the cell vectors:
Ga: 0.0000 0.0000 0.0000  12 Bi 4.07
Hg: 0.5000 0.5000 0.5000  6 Bi 2.88
Bi: 0.0000 0.5000 0.5000  2 Hg 2.88
Bi: 0.5000 0.0000 0.5000  2 Hg 2.88
Bi: 0.5000 0.5000 0.0000  2 Hg 2.88

***

Entry 9:
Material: CaMnFe2
Method: DFT, PBE
State: relaxed

## Properties
Excess energy over the best structure of this formula in the dataset in meV per atom: 0
Energy relative to the elements in eV/atom: 0.349
SG: R-3m, No. 166
Total magnetization in μB per formula unit: 1.50
Calculated volume in Å³/cell: 72.7

Cell lengths 5.6639, 5.6639, 5.6639 Å; angles 41.72, 41.72, 41.72 degrees
Closest atoms and distances in Å follow each position.
Sites, in units of the cell vectors:
Ca: 0.0000 0.0000 0.0000  8 Fe 3.00-3.18
Mn: 0.5000 0.5000 0.5000  6 Fe 2.37
Fe: 0.1935 0.1935 0.1935  3 Mn 2.37, 3 Fe 2.47
Fe: 0.8065 0.8065 0.8065  3 Mn 2.37, 3 Fe 2.47

***

Entry 10:
Material: MgInSn6
Method: DFT, PBE
State: relaxed

## Properties
Energy relative to the elements in eV/atom: 0.020
SG: P4/mmm, No. 123
Total magnetization in μB per formula unit: 0.00
Calculated volume in Å³/cell: 214.3

Cell lengths 4.6201, 4.6201, 10.0375 Å; angles 90.00, 90.00, 90.00 degrees
Closest atoms and distances in Å follow each position.
Sites, in units of the cell vectors:
Mg: 0.0000 0.0000 0.0000  12 Sn 3.27-3.34
In: 0.0000 0.0000 0.5000  12 Sn 3.27-3.48
Sn: 0.0000 0.5000 0.2401  8 Sn 3.27-3.48, 2 Mg 3.34, 2 In 3.48
Sn: 0.0000 0.5000 0.7599  8 Sn 3.27-3.48, 2 Mg 3.34, 2 In 3.48
Sn: 0.5000 0.0000 0.2401  8 Sn 3.27-3.48, 2 Mg 3.34, 2 In 3.48
Sn: 0.5000 0.0000 0.7599  8 Sn 3.27-3.48, 2 Mg 3.34, 2 In 3.48
Sn: 0.5000 0.5000 0.0000  4 Mg 3.27, 8 Sn 3.34
Sn: 0.5000 0.5000 0.5000  4 In 3.27, 8 Sn 3.48

***

Entry 11:
Material: PuSc2I8
Method: DFT, PBE
State: relaxed

## Properties
ΔE_f (raw) in kcal/mol of atoms: -25.439
SG: C2/m, No. 12
Total magnetization in μB per formula unit: 5.88
Calculated volume in Å³/cell: 482.3

Cell lengths 11.6407, 11.6407, 10.7217 Å; angles 92.43, 92.43, 19.41 degrees
Closest atoms and distances in Å follow each position.
Sites, in units of the cell vectors:
Pu: 0.0000 0.0000 0.0000  6 I 3.07-3.27
Sc: 0.3326 0.3326 0.2733  6 I 2.92-3.03
Sc: 0.6674 0.6674 0.7267  6 I 2.92-3.03
I: 0.1059 0.1059 0.5682  2 Sc 2.92
I: 0.1372 0.1372 0.9293  2 Sc 3.03, 1 Pu 3.27
I: 0.2620 0.2620 0.7100  2 Sc 2.94
I: 0.4667 0.4667 0.7882  2 Pu 3.07
I: 0.5333 0.5333 0.2118  2 Pu 3.07
I: 0.7380 0.7380 0.2900  2 Sc 2.94
I: 0.8628 0.8628 0.0707  2 Sc 3.03, 1 Pu 3.27
I: 0.8941 0.8941 0.4318  2 Sc 2.92

***

Entry 12:
Material: CoPt3Rh
Method: DFT, PBE
State: relaxed

## Properties
Excess energy over the best structure of this formula in the dataset in meV per atom: 1115
Energy relative to the elements in eV/atom: 1.133
SG: Pm-3m, No. 221
Total magnetization in μB per formula unit: 3.40
Calculated volume in Å³/cell: 90.8

Cell lengths 4.4944, 4.4944, 4.4944 Å; angles 90.00, 90.00, 90.00 degrees
Closest atoms and distances in Å follow each position.
Sites, in units of the cell vectors:
Co: 0.0000 0.0000 0.0000  6 Pt 2.25
Pt: 0.0000 0.0000 0.5000  2 Co 2.25
Pt: 0.0000 0.5000 0.0000  2 Co 2.25
Pt: 0.5000 0.0000 0.0000  2 Co 2.25
Rh: 0.5000 0.5000 0.5000  12 Pt 3.18

***

Look up the total magnetization of the third one.
3.76 μB per formula unit

***

Please write out number 2 again, unchanged.
Material: La2FeSe
Method: DFT, PBE
State: relaxed

## Properties
ΔE_f (raw) in kcal/mol of atoms: -16.991
SG: P4mm, No. 99
Total magnetization in μB per formula unit: 0.32
Calculated volume in Å³/cell: 110.2

Cell lengths 4.2802, 4.2802, 6.0138 Å; angles 90.00, 90.00, 90.00 degrees
Closest atoms and distances in Å follow each position.
Sites, in units of the cell vectors:
La: 0.0000 0.0000 0.0000  1 Fe 2.25
La: 0.5000 0.5000 0.4145  2 Se 3.00-3.02, 4 Fe 3.04
Fe: 0.0000 0.0000 0.3734  1 La 2.25
Se: 0.5000 0.5000 0.9130  6 La 3.00-3.07

***

Which value of calculated volume does entry 11 give?
482.3 Å³/cell